[1]
The following is a DFT calculation (GGA-PBE) of crystalline Y2CdTe at its relaxed geometry.

Results
Excess energy over the best structure of this formula in the dataset, kJ/mol of formula units: 0.0
E, eV per atom: -5.07
Crystal system: orthorhombic
Total magnetic moment, μB per formula unit: 0.00
N(E_F), states/eV/cell: 6.0
Uncorrected formation energy, eV per formula unit: -3.30

Geometry as CIF:
```
data_Y2CdTe
_chemical_formula_sum 'Y4 Cd2 Te2'
_cell_length_a 4.501
_cell_length_b 4.213
_cell_length_c 12.203
_cell_angle_alpha 99.94
_cell_angle_beta 90.00
_cell_angle_gamma 90.00
_symmetry_space_group_name_H-M 'P 1'
_symmetry_Int_Tables_number 1
loop_
_symmetry_equiv_pos_as_xyz
'x,y,z'
loop_
_atom_site_label
_atom_site_fract_x
_atom_site_fract_y
_atom_site_fract_z
Y1 0.750 0.674 0.348
Y2 0.250 0.326 0.652
Y3 0.750 0.932 0.865
Y4 0.250 0.068 0.135
Cd1 0.250 0.458 0.917
Cd2 0.750 0.542 0.083
Te1 0.250 0.195 0.391
Te2 0.750 0.805 0.609
```

---

[2]
The following is a DFT calculation (GGA-PBE) of crystalline Y2CdTe at its relaxed geometry.

Results
Excess energy over the best structure of this formula in the dataset, kJ/mol of formula units: 101.2
E, eV per atom: -4.81
Crystal system: cubic
Total magnetic moment, μB per formula unit: 0.00
N(E_F), states/eV/cell: 3.0
Uncorrected formation energy, eV per formula unit: -2.26

Geometry as CIF:
```
data_Y2CdTe
_chemical_formula_sum 'Y2 Cd1 Te1'
_cell_length_a 5.347
_cell_length_b 5.347
_cell_length_c 5.347
_cell_angle_alpha 60.00
_cell_angle_beta 60.00
_cell_angle_gamma 60.00
_symmetry_space_group_name_H-M 'P 1'
_symmetry_Int_Tables_number 1
loop_
_symmetry_equiv_pos_as_xyz
'x,y,z'
loop_
_atom_site_label
_atom_site_fract_x
_atom_site_fract_y
_atom_site_fract_z
Y1 0.250 0.250 0.250
Y2 0.750 0.750 0.750
Te1 0.500 0.500 0.500
Cd1 0.000 0.000 0.000
```

---

[3]
The following is a DFT calculation (GGA-PBE) of crystalline YCdTe2 at its relaxed geometry.

Results
E, eV per atom: -4.16
Crystal system: tetragonal
Total magnetic moment, μB per formula unit: 0.00
N(E_F), states/eV/cell: 1.9
Uncorrected formation energy, eV per formula unit: -2.98

Geometry as CIF:
```
data_YCdTe2
_chemical_formula_sum 'Y1 Cd1 Te2'
_cell_length_a 3.872
_cell_length_b 3.872
_cell_length_c 7.474
_cell_angle_alpha 90.00
_cell_angle_beta 90.00
_cell_angle_gamma 89.99
_symmetry_space_group_name_H-M 'P 1'
_symmetry_Int_Tables_number 1
loop_
_symmetry_equiv_pos_as_xyz
'x,y,z'
loop_
_atom_site_label
_atom_site_fract_x
_atom_site_fract_y
_atom_site_fract_z
Cd1 0.500 0.500 0.750
Te1 0.000 0.000 0.017
Te2 0.000 0.000 0.483
Y1 0.500 0.500 0.250
```

---

[4]
The following is a DFT calculation (GGA-PBE) of crystalline Y2CdTe at its relaxed geometry.

Results
Excess energy over the best structure of this formula in the dataset, kJ/mol of formula units: 292.6
E, eV per atom: -4.31
Crystal system: cubic
Total magnetic moment, μB per formula unit: 0.00
N(E_F), states/eV/cell: 5.0
Uncorrected formation energy, eV per formula unit: -0.27

Geometry as CIF:
```
data_Y2CdTe
_chemical_formula_sum 'Y2 Cd1 Te1'
_cell_length_a 5.394
_cell_length_b 5.394
_cell_length_c 5.394
_cell_angle_alpha 60.00
_cell_angle_beta 60.00
_cell_angle_gamma 60.00
_symmetry_space_group_name_H-M 'P 1'
_symmetry_Int_Tables_number 1
loop_
_symmetry_equiv_pos_as_xyz
'x,y,z'
loop_
_atom_site_label
_atom_site_fract_x
_atom_site_fract_y
_atom_site_fract_z
Cd1 0.500 0.500 0.500
Te1 0.750 0.750 0.750
Y1 0.000 0.000 0.000
Y2 0.250 0.250 0.250
```

---

[5]
The following is a DFT calculation (GGA-PBE) of crystalline YCd2Te at its relaxed geometry.

Results
E, eV per atom: -3.25
Crystal system: trigonal
Total magnetic moment, μB per formula unit: 0.00
N(E_F), states/eV/cell: 2.5
Uncorrected formation energy, eV per formula unit: -1.55

Geometry as CIF:
```
data_YCd2Te
_chemical_formula_sum 'Y1 Cd2 Te1'
_cell_length_a 8.743
_cell_length_b 8.743
_cell_length_c 8.743
_cell_angle_alpha 27.03
_cell_angle_beta 27.03
_cell_angle_gamma 27.03
_symmetry_space_group_name_H-M 'P 1'
_symmetry_Int_Tables_number 1
loop_
_symmetry_equiv_pos_as_xyz
'x,y,z'
loop_
_atom_site_label
_atom_site_fract_x
_atom_site_fract_y
_atom_site_fract_z
Cd1 0.997 0.997 0.997
Cd2 0.256 0.256 0.256
Te1 0.494 0.494 0.494
Y1 0.754 0.754 0.754
```

---

[6]
The following is a DFT calculation (GGA-PBE) of crystalline Y2CdTe at its relaxed geometry.

Results
Excess energy over the best structure of this formula in the dataset, kJ/mol of formula units: 25.2
E, eV per atom: -5.01
Crystal system: monoclinic
Total magnetic moment, μB per formula unit: 0.00
N(E_F), states/eV/cell: 2.6
Uncorrected formation energy, eV per formula unit: -3.04

Geometry as CIF:
```
data_Y2CdTe
_chemical_formula_sum 'Y2 Cd1 Te1'
_cell_length_a 4.147
_cell_length_b 4.147
_cell_length_c 8.249
_cell_angle_alpha 75.50
_cell_angle_beta 75.50
_cell_angle_gamma 59.85
_symmetry_space_group_name_H-M 'P 1'
_symmetry_Int_Tables_number 1
loop_
_symmetry_equiv_pos_as_xyz
'x,y,z'
loop_
_atom_site_label
_atom_site_fract_x
_atom_site_fract_y
_atom_site_fract_z
Y1 0.998 0.998 0.006
Y2 0.502 0.502 0.494
Te1 0.250 0.250 0.250
Cd1 0.750 0.750 0.750
```

---

[7]
The following is a DFT calculation (GGA-PBE) of crystalline Y3CdTe at its relaxed geometry.

Results
Excess energy over the best structure of this formula in the dataset, kJ/mol of formula units: 239.3
E, eV per atom: -4.79
Crystal system: cubic
Total magnetic moment, μB per formula unit: 0.00
N(E_F), states/eV/cell: 4.3
Uncorrected formation energy, eV per formula unit: -0.50

Geometry as CIF:
```
data_Y3CdTe
_chemical_formula_sum 'Y3 Cd1 Te1'
_cell_length_a 5.628
_cell_length_b 5.628
_cell_length_c 5.628
_cell_angle_alpha 90.00
_cell_angle_beta 90.00
_cell_angle_gamma 90.00
_symmetry_space_group_name_H-M 'P 1'
_symmetry_Int_Tables_number 1
loop_
_symmetry_equiv_pos_as_xyz
'x,y,z'
loop_
_atom_site_label
_atom_site_fract_x
_atom_site_fract_y
_atom_site_fract_z
Y1 0.000 0.500 0.000
Y2 0.000 0.000 0.500
Y3 0.500 0.000 0.000
Te1 0.000 0.000 0.000
Cd1 0.500 0.500 0.500
```

---

[8]
The following is a DFT calculation (GGA-PBE) of crystalline Y2CdTe2 at its relaxed geometry.

Results
Excess energy over the best structure of this formula in the dataset, kJ/mol of formula units: 0.0
E, eV per atom: -4.94
Crystal system: tetragonal
Total magnetic moment, μB per formula unit: 0.11
N(E_F), states/eV/cell: 8.1
Uncorrected formation energy, eV per formula unit: -4.59

Geometry as CIF:
```
data_Y2CdTe2
_chemical_formula_sum 'Y4 Cd2 Te4'
_cell_length_a 8.426
_cell_length_b 8.426
_cell_length_c 4.011
_cell_angle_alpha 90.00
_cell_angle_beta 90.00
_cell_angle_gamma 90.00
_symmetry_space_group_name_H-M 'P 1'
_symmetry_Int_Tables_number 1
loop_
_symmetry_equiv_pos_as_xyz
'x,y,z'
loop_
_atom_site_label
_atom_site_fract_x
_atom_site_fract_y
_atom_site_fract_z
Y1 0.350 0.850 0.000
Y2 0.850 0.650 0.000
Y3 0.650 0.150 0.000
Y4 0.150 0.350 0.000
Te1 0.149 0.649 0.500
Te2 0.649 0.851 0.500
Te3 0.851 0.351 0.500
Te4 0.351 0.149 0.500
Cd1 0.000 0.000 0.000
Cd2 0.500 0.500 0.000
```

---

[9]
The following is a DFT calculation (GGA-PBE) of crystalline Y2CdTe2 at its relaxed geometry.

Results
Excess energy over the best structure of this formula in the dataset, kJ/mol of formula units: 95.3
E, eV per atom: -4.75
Crystal system: tetragonal
Total magnetic moment, μB per formula unit: 0.00
N(E_F), states/eV/cell: 1.6
Uncorrected formation energy, eV per formula unit: -3.60

Geometry as CIF:
```
data_Y2CdTe2
_chemical_formula_sum 'Y2 Cd1 Te2'
_cell_length_a 5.282
_cell_length_b 5.282
_cell_length_c 7.482
_cell_angle_alpha 69.33
_cell_angle_beta 69.33
_cell_angle_gamma 90.00
_symmetry_space_group_name_H-M 'P 1'
_symmetry_Int_Tables_number 1
loop_
_symmetry_equiv_pos_as_xyz
'x,y,z'
loop_
_atom_site_label
_atom_site_fract_x
_atom_site_fract_y
_atom_site_fract_z
Y1 0.750 0.250 0.500
Y2 0.250 0.750 0.500
Te1 0.361 0.361 0.279
Te2 0.639 0.639 0.721
Cd1 0.000 0.000 0.000
```

---

[10]
The following is a DFT calculation (GGA-PBE) of crystalline YCdTe2 at its relaxed geometry.

Results
E, eV per atom: -4.26
Crystal system: monoclinic
Total magnetic moment, μB per formula unit: 0.00
N(E_F), states/eV/cell: 1.5
Uncorrected formation energy, eV per formula unit: -3.40

Geometry as CIF:
```
data_YCdTe2
_chemical_formula_sum 'Y1 Cd1 Te2'
_cell_length_a 4.352
_cell_length_b 7.677
_cell_length_c 6.347
_cell_angle_alpha 34.72
_cell_angle_beta 90.00
_cell_angle_gamma 90.00
_symmetry_space_group_name_H-M 'P 1'
_symmetry_Int_Tables_number 1
loop_
_symmetry_equiv_pos_as_xyz
'x,y,z'
loop_
_atom_site_label
_atom_site_fract_x
_atom_site_fract_y
_atom_site_fract_z
Cd1 0.000 0.000 0.500
Te1 0.000 0.000 0.000
Te2 0.500 0.500 0.000
Y1 0.500 0.500 0.500
```

---

Among the records above, which one has the lowest uncorrected formation energy?
number 8